No. 1
Nd4Sb2O | GGA-PBE | relaxed

## Properties
ΔE to the lowest computed polymorph, kJ/mol of formula units: 24.7
Energy relative to the elements, uncorrected, meV per atom: -1415
ρ, g/cm3: 6.96
SG: P2_1/m (11)

Structure (extended XYZ):
```
14
Lattice="-3.099 4.492 3.761 -6.005 -2.521 -1.937 1.571 -7.678 5.125" Properties=species:S:1:pos:R:3 pbc="T T T"
Nd -4.165 -1.137 2.561
Nd -3.495 -8.487 4.005
Nd -4.039 2.780 2.944
Nd -1.205 0.105 3.516
Nd -3.363 -1.476 6.391
Nd -6.328 -5.812 3.434
Nd -3.368 -4.570 4.388
Nd -4.170 -4.231 0.559
Sb -6.627 1.040 1.315
Sb -0.906 -6.747 5.634
Sb -1.390 -2.965 2.210
Sb -6.143 -2.742 4.740
O -5.101 -2.151 0.738
O -2.432 -3.556 6.211
```

---

No. 2
NdSbO | GGA-PBE | relaxed

## Properties
ΔE to the lowest computed polymorph, kJ/mol of formula units: 9.3
Energy relative to the elements, uncorrected, meV per atom: -1646
ρ, g/cm3: 7.02
SG: I4/mmm (139)

Structure (extended XYZ):
```
6
Lattice="-1.631 -3.384 1.330 2.238 0.215 3.291 -6.342 5.994 1.508" Properties=species:S:1:pos:R:3 pbc="T T T"
Nd -0.717 -0.840 2.955
Nd -5.018 3.665 3.173
Sb -2.622 1.915 1.658
Sb -3.113 0.911 4.471
O 1.119 0.108 1.645
O -0.815 -1.692 0.665
```

---

No. 3
NdSb2O8 | GGA-PBE | relaxed

## Properties
Energy relative to the elements, uncorrected, meV per atom: -1156
ρ, g/cm3: 5.86
SG: I422 (97)

Structure (extended XYZ):
```
11
Lattice="-4.842 0.990 -0.370 -0.983 -4.856 -0.130 2.446 1.869 6.178" Properties=species:S:1:pos:R:3 pbc="T T T"
Nd -2.912 -1.933 -0.250
Sb -2.654 0.463 2.779
Sb -0.724 -2.460 2.899
O -3.912 -0.439 1.425
O 0.721 -1.434 4.269
O -1.383 1.342 4.134
O 1.052 1.008 4.322
O -2.184 -3.465 1.528
O -4.556 -2.817 1.348
O -1.540 -1.087 1.604
O -1.714 -1.100 4.081
```

---

No. 4
Nd2SbO2 | GGA-PBE | relaxed

## Properties
Energy relative to the elements, uncorrected, meV per atom: -2600
ρ, g/cm3: 6.64
SG: I4/mmm (139)

Structure (extended XYZ):
```
5
Lattice="7.475 0.001 0.000 5.336 5.235 0.000 -6.405 -2.618 2.827" Properties=species:S:1:pos:R:3 pbc="T T T"
Nd 8.499 3.474 0.000
Nd 4.312 1.762 0.000
Sb 0.000 0.000 0.000
O 3.737 0.000 1.414
O 2.668 2.617 1.414
```

---

No. 5
NdSbO2 | GGA-PBE | relaxed

## Properties
Energy relative to the elements, uncorrected, meV per atom: -1244
ρ, g/cm3: 6.11
SG: R-3m (166)

Structure (extended XYZ):
```
4
Lattice="-3.403 1.461 -0.461 -2.787 -2.129 -1.275 -3.646 -1.921 5.718" Properties=species:S:1:pos:R:3 pbc="T T T"
Sb -4.918 -1.295 1.991
Nd 0.000 0.000 0.000
O -3.106 -1.342 3.569
O -6.730 -1.248 0.412
```

---

No. 6
Nd3SbO7 | GGA-PBE | relaxed

## Properties
ΔE to the lowest computed polymorph, kJ/mol of formula units: 0.0
Energy relative to the elements, uncorrected, meV per atom: -2861
ρ, g/cm3: 6.75
SG: Cmcm (63)

Structure (extended XYZ):
```
22
Lattice="6.697 -0.003 0.000 -2.250 6.308 0.000 0.000 0.000 7.765" Properties=species:S:1:pos:R:3 pbc="T T T"
Nd 2.223 3.153 3.882
Nd 2.223 3.153 0.000
Nd 1.317 6.302 5.824
Nd 5.495 3.355 1.941
Nd 3.130 0.003 1.941
Nd -1.048 2.950 5.824
Sb 0.000 0.000 3.882
Sb 0.000 0.000 0.000
O 2.501 5.870 3.664
O 4.691 4.326 4.101
O 2.501 5.870 0.218
O 4.691 4.326 7.547
O 1.946 0.435 4.101
O -0.244 1.979 3.664
O 1.946 0.435 7.547
O -0.244 1.979 0.218
O 6.132 0.396 5.824
O -1.685 5.910 1.941
O 1.064 3.970 5.824
O 3.383 2.335 1.941
O 3.431 2.301 5.824
O 1.016 4.004 1.941
```

---

Question: Number 4 is which compound?
Answer: Nd2SbO2